VASP calculation (PBEsol) on crystalline TaCo2Rh at its relaxed geometry.

As for the symmetry: F-43m, No. 216. The formation energy from the elements is -0.05 eV per atom. The value obtained for the energy relative to the lowest polymorph listed for this composition is 315.6 meV per atom.

Cell and atoms, written as POSCAR:
```
TaCo2Rh
1.0
-2.623 -2.918 1.468
1.095 -4.043 -0.102
0.893 -2.019 3.561
Co Rh Ta
2 1 1
Direct
0.000 0.000 0.000
0.750 0.750 0.750
0.500 0.500 0.500
0.250 0.250 0.250
```